Record 1
This record from the Alexandria database describes a relaxed structure of BaCaLa2Ni. The functional is PBE.

abc: 5.553 5.553 6.381
angles: 90.00 90.00 90.00
Element x y z (fractional)
Ba (0.000, 0.000, 0.000)
Ca (0.500, 0.500, 0.000)
La (0.000, 0.500, 0.500)
La (0.500, 0.000, 0.500)
Ni (0.000, 0.000, 0.500)

Energy above the lowest structure with this stoichiometry   71 meV/atom
Space group   P4/mmm
V   39.36 A^3/atom


Record 2
This record from the Alexandria database describes a relaxed structure of HoScInNi. The functional is PBE.

abc: 4.938 4.938 4.938
angles: 60.00 60.00 60.00
Element x y z (fractional)
Ho (0.000, 0.000, 0.000)
Sc (0.500, 0.500, 0.500)
In (0.750, 0.750, 0.750)
Ni (0.250, 0.250, 0.250)

Space group   F-43m
Final energy   -5.182 eV per atom
V   21.28 A^3/atom


Record 3
This record from the Alexandria database describes a relaxed structure of Ca2YOs. The functional is PBE.

abc: 6.038 6.038 6.038
angles: 137.27 137.27 62.02
Element x y z (fractional)
Ca (0.250, 0.750, 0.500)
Ca (0.750, 0.250, 0.500)
Y (0.000, 0.000, 0.000)
Os (0.500, 0.500, 0.000)

Energy above the lowest structure with this stoichiometry   288 meV/atom
Space group   I4/mmm
V   25.04 A^3/atom


Record 4
This record from the Alexandria database describes a relaxed structure of Cs3PaCu2O6. The functional is PBE.

abc: 6.261 6.261 7.773
angles: 90.00 90.00 120.00
Element x y z (fractional)
Cs (0.000, 0.000, 0.000)
Cs (0.333, 0.667, 0.743)
Cs (0.667, 0.333, 0.257)
Pa (0.000, 0.000, 0.500)
Cu (0.333, 0.667, 0.321)
Cu (0.667, 0.333, 0.679)
O (0.161, 0.322, 0.329)
O (0.161, 0.839, 0.329)
O (0.322, 0.161, 0.671)
O (0.678, 0.839, 0.329)
O (0.839, 0.161, 0.671)
O (0.839, 0.678, 0.671)

Space group   P-3m1
V   21.99 A^3/atom
E_form (uncorrected)   -1.77 eV per atom


Record 5
This record from the Alexandria database describes a relaxed structure of CeCu5Cl12. The functional is PBE.

abc: 6.089 6.259 13.491
angles: 95.71 93.26 114.60
Element x y z (fractional)
Ce (0.000, 0.000, 0.000)
Cu (0.000, 0.000, 0.500)
Cu (0.267, 0.541, 0.941)
Cu (0.333, 0.666, 0.500)
Cu (0.667, 0.334, 0.500)
Cu (0.733, 0.459, 0.059)
Cl (0.084, 0.759, 0.602)
Cl (0.121, 0.441, 0.098)
Cl (0.208, 0.200, 0.847)
Cl (0.249, 0.907, 0.398)
Cl (0.418, 0.427, 0.603)
Cl (0.440, 0.130, 0.103)
Cl (0.560, 0.870, 0.897)
Cl (0.582, 0.573, 0.397)
Cl (0.751, 0.093, 0.602)
Cl (0.792, 0.800, 0.153)
Cl (0.879, 0.559, 0.902)
Cl (0.916, 0.241, 0.398)

Space group   P-1
V   25.69 A^3/atom
E_form (uncorrected)   -0.87 eV per atom


Record 6
This record from the Alexandria database describes a relaxed structure of CaErZn4. The functional is PBE.

abc: 8.171 8.171 8.171
angles: 150.72 150.72 41.89
Element x y z (fractional)
Ca (0.000, 0.000, 0.000)
Er (0.750, 0.250, 0.500)
Zn (0.170, 0.670, 0.500)
Zn (0.330, 0.830, 0.500)
Zn (0.417, 0.417, 0.000)
Zn (0.583, 0.583, 0.000)

Energy above the lowest structure with this stoichiometry   12 meV/atom
Space group   I-4m2
V   21.69 A^3/atom